Computed, not measured: a relaxed YMgZn crystal at the PBE-GGA level of DFT.

Cell lengths 3.6164, 3.6164, 13.0991 Å; angles 90.00, 90.00, 120.00 degrees
Space group P3m1 (No. 156)
Symmetry-distinct sites (fractional):
Y1 0.0000 0.0000 0.0000
Y2 0.3333 0.6667 0.7789
Mg1 0.0000 0.0000 0.3084
Mg2 0.6667 0.3333 0.4825
Zn1 0.0000 0.0000 0.6187
Zn2 0.3333 0.6667 0.1644

excess energy over the best structure of this formula in the dataset = 0.311 eV per atom
electronic total energy = -9.210 eV/f.u.
V = 24.7 A^3/atom